Run a
This record from Alexandria via LeMat-Bulk describes a geometry-optimized Ti2CdS2 structure. The functional is PBE-GGA.

calculated density	4708	kg/m3
crystal system	tetragonal

abc: 4.295 4.295 10.410
angles: 90.00 90.00 90.00
Space group I4/mmm (No. 139)
One atom of each set of equivalent atoms:
Ti  0.000  0.500  0.250
Cd  0.000  0.000  0.000
S  0.000  0.000  0.351

=====

Run b
This record from Alexandria via LeMat-Bulk describes a geometry-optimized Ti2CdS2 structure. The functional is PBE-GGA.

calculated density	5636	kg/m3
crystal system	tetragonal

abc: 7.227 7.227 3.072
angles: 90.00 90.00 90.00
Space group P4/mbm (No. 127)
One atom of each set of equivalent atoms:
Ti  0.147  0.353  0.000
Cd  0.000  0.000  0.500
S  0.140  0.640  0.500

=====

The calculated energies rank the structures as follows, beginning with the most stable: run a, run b.